1.
Computed, not measured: ZnInPO2 after structural relaxation at the PBE level of DFT.

The structure in POSCAR format:
```
ZnInPO2
1.0
3.7941 0.0000 0.0000
0.0000 3.7941 0.0000
0.0000 0.0000 4.7883
Zn In P O
1 1 1 2
Direct
0.0000 0.0000 0.0000 Zn
0.5000 0.5000 0.0000 In
0.0000 0.0000 0.5000 P
0.0000 0.5000 0.5000 O
0.5000 0.0000 0.5000 O
```

Formation energy from raw total energies: -0.363 eV/atom
Distance to the lowest polymorph of the same formula: 0.00 eV/f.u.
DOS at the Fermi energy: 0.191 states/eV per atom

2.
Computed, not measured: ZnInP2O after structural relaxation at the PBE level of DFT.

The structure in POSCAR format:
```
ZnInP2O
1.0
5.2418 0.0000 0.0000
0.0000 5.2418 0.0000
0.0000 0.0000 3.9288
Zn In P O
1 1 2 1
Direct
0.0000 0.0000 0.0000 Zn
0.5000 0.5000 0.5000 In
0.0000 0.5000 0.5000 P
0.5000 0.0000 0.5000 P
0.5000 0.5000 0.0000 O
```

Formation energy from raw total energies: 0.706 eV/atom
Distance to the lowest polymorph of the same formula: 1.65 eV/f.u.
DOS at the Fermi energy: 1.216 states/eV per atom

3.
Computed, not measured: Zn2InPO6 after structural relaxation at the PBE level of DFT.

The structure in POSCAR format:
```
Zn2InPO6
1.0
5.8017 -3.2598 0.0000
5.8017 3.2598 0.0000
-1.7254 0.0000 6.4280
Zn In P O
4 2 2 12
Direct
0.1487 0.3141 0.1390 Zn
0.3141 0.1487 0.6390 Zn
0.6859 0.8513 0.3610 Zn
0.8513 0.6859 0.8610 Zn
0.1979 0.8021 0.2500 In
0.8021 0.1979 0.7500 In
0.3305 0.6695 0.7500 P
0.6695 0.3305 0.2500 P
0.0525 0.3188 0.8150 O
0.1449 0.7784 0.9059 O
0.2216 0.8551 0.5941 O
0.3188 0.0525 0.3150 O
0.3704 0.4259 0.6334 O
0.4259 0.3704 0.1334 O
0.5741 0.6296 0.8666 O
0.6296 0.5741 0.3666 O
0.6812 0.9475 0.6850 O
0.7784 0.1449 0.4059 O
0.8551 0.2216 0.0941 O
0.9475 0.6812 0.1850 O
```

Formation energy from raw total energies: -1.746 eV/atom
DOS at the Fermi energy: 0.000 states/eV per atom

4.
Computed, not measured: ZnInPO2 after structural relaxation at the PBE level of DFT.

The structure in POSCAR format:
```
ZnInPO2
1.0
4.0175 0.0000 0.0000
0.0000 4.0175 0.0000
0.0000 0.0000 5.7732
Zn In P O
1 1 1 2
Direct
0.0000 0.0000 0.0000 Zn
0.5000 0.5000 0.5000 In
0.5000 0.5000 0.0000 P
0.0000 0.5000 0.5000 O
0.5000 0.0000 0.5000 O
```

Formation energy from raw total energies: 0.100 eV/atom
Distance to the lowest polymorph of the same formula: 2.31 eV/f.u.
DOS at the Fermi energy: 0.845 states/eV per atom

5.
Computed, not measured: ZnInP2O after structural relaxation at the PBE level of DFT.

The structure in POSCAR format:
```
ZnInP2O
1.0
4.9396 0.0000 0.0000
0.0000 4.9396 0.0000
0.0000 0.0000 3.6525
Zn In P O
1 1 2 1
Direct
0.0000 0.0000 0.0000 Zn
0.5000 0.5000 0.5000 In
0.0000 0.5000 0.0000 P
0.5000 0.0000 0.0000 P
0.0000 0.0000 0.5000 O
```

Formation energy from raw total energies: 0.377 eV/atom
Distance to the lowest polymorph of the same formula: 0.00 eV/f.u.
DOS at the Fermi energy: 0.795 states/eV per atom

6.
Computed, not measured: ZnInPO2 after structural relaxation at the PBE level of DFT.

The structure in POSCAR format:
```
ZnInPO2
1.0
3.8643 0.0000 0.0000
0.0000 3.8643 0.0000
0.0000 0.0000 5.0227
Zn In P O
1 1 1 2
Direct
0.0000 0.0000 0.0000 Zn
0.5000 0.5000 0.5000 In
0.0000 0.0000 0.5000 P
0.0000 0.5000 0.0000 O
0.5000 0.0000 0.0000 O
```

Formation energy from raw total energies: -0.040 eV/atom
Distance to the lowest polymorph of the same formula: 1.61 eV/f.u.
DOS at the Fermi energy: 0.515 states/eV per atom

7.
Computed, not measured: ZrInP2O after structural relaxation at the PBE level of DFT.

The structure in POSCAR format:
```
ZrInP2O
1.0
5.2739 0.0000 0.0000
0.0000 5.2739 0.0000
0.0000 0.0000 4.0319
Zr In P O
1 1 2 1
Direct
0.0000 0.0000 0.0000 Zr
0.5000 0.5000 0.5000 In
0.0000 0.5000 0.0000 P
0.5000 0.0000 0.0000 P
0.0000 0.0000 0.5000 O
```

Formation energy from raw total energies: -0.544 eV/atom
DOS at the Fermi energy: 1.152 states/eV per atom

8.
Computed, not measured: Pa4In6O19 after structural relaxation at the PBE level of DFT.

The structure in POSCAR format:
```
Pa4In6O19
1.0
-4.6639 4.6639 4.6639
4.6639 -4.6639 4.6639
4.6639 4.6639 -4.6639
Pa In O
4 6 19
Direct
0.0000 0.0000 0.2961 Pa
0.0000 0.2961 0.0000 Pa
0.2961 0.0000 0.0000 Pa
0.7039 0.7039 0.7039 Pa
0.1675 0.5000 0.6675 In
0.3325 0.8325 0.5000 In
0.5000 0.3325 0.8325 In
0.5000 0.6675 0.1675 In
0.6675 0.1675 0.5000 In
0.8325 0.5000 0.3325 In
0.0000 0.0000 0.0000 O
0.0000 0.3048 0.3048 O
0.0000 0.6952 0.6952 O
0.0269 0.7840 0.3823 O
0.2160 0.2429 0.5984 O
0.2429 0.5984 0.2160 O
0.3048 0.0000 0.3048 O
0.3048 0.3048 0.0000 O
0.3554 0.7571 0.9731 O
0.3823 0.0269 0.7840 O
0.4016 0.6446 0.6177 O
0.5984 0.2160 0.2429 O
0.6177 0.4016 0.6446 O
0.6446 0.6177 0.4016 O
0.6952 0.0000 0.6952 O
0.6952 0.6952 0.0000 O
0.7571 0.9731 0.3554 O
0.7840 0.3823 0.0269 O
0.9731 0.3554 0.7571 O
```

Formation energy from raw total energies: -2.330 eV/atom
DOS at the Fermi energy: 0.000 states/eV per atom

9.
Computed, not measured: PaIn3O8 after structural relaxation at the PBE level of DFT.

The structure in POSCAR format:
```
PaIn3O8
1.0
5.3204 0.0000 0.0000
0.0000 5.3204 0.0000
0.0000 0.0000 5.3204
Pa In O
1 3 8
Direct
0.0000 0.0000 0.0000 Pa
0.0000 0.5000 0.5000 In
0.5000 0.0000 0.5000 In
0.5000 0.5000 0.0000 In
0.2492 0.2492 0.2492 O
0.2492 0.2492 0.7508 O
0.2492 0.7508 0.2492 O
0.2492 0.7508 0.7508 O
0.7508 0.2492 0.2492 O
0.7508 0.2492 0.7508 O
0.7508 0.7508 0.2492 O
0.7508 0.7508 0.7508 O
```

Formation energy from raw total energies: -1.760 eV/atom
DOS at the Fermi energy: 0.852 states/eV per atom

10.
Computed, not measured: PaInO6 after structural relaxation at the PBE level of DFT.

The structure in POSCAR format:
```
PaInO6
1.0
0.0000 4.1686 4.1686
4.1686 0.0000 4.1686
4.1686 4.1686 0.0000
Pa In O
1 1 6
Direct
0.0000 0.0000 0.0000 Pa
0.5000 0.5000 0.5000 In
0.2440 0.2440 0.7560 O
0.2440 0.7560 0.2440 O
0.2440 0.7560 0.7560 O
0.7560 0.2440 0.2440 O
0.7560 0.2440 0.7560 O
0.7560 0.7560 0.2440 O
```

Formation energy from raw total energies: -1.401 eV/atom
DOS at the Fermi energy: 0.851 states/eV per atom

11.
Computed, not measured: Pa3InO after structural relaxation at the PBE level of DFT.

The structure in POSCAR format:
```
Pa3InO
1.0
4.7786 0.0000 0.0000
0.0000 4.7786 0.0000
0.0000 0.0000 4.7786
Pa In O
3 1 1
Direct
0.0000 0.0000 0.5000 Pa
0.0000 0.5000 0.0000 Pa
0.5000 0.0000 0.0000 Pa
0.5000 0.5000 0.5000 In
0.0000 0.0000 0.0000 O
```

Formation energy from raw total energies: -0.934 eV/atom
DOS at the Fermi energy: 1.753 states/eV per atom

12.
Computed, not measured: PaInO3 after structural relaxation at the PBE level of DFT.

The structure in POSCAR format:
```
PaInO3
1.0
4.4000 0.0000 0.0000
0.0000 4.4000 0.0000
0.0000 0.0000 4.4000
Pa In O
1 1 3
Direct
0.0000 0.0000 0.0000 Pa
0.5000 0.5000 0.5000 In
0.0000 0.0000 0.5000 O
0.0000 0.5000 0.0000 O
0.5000 0.0000 0.0000 O
```

Formation energy from raw total energies: -2.676 eV/atom
DOS at the Fermi energy: 0.000 states/eV per atom